Computed, not measured: a relaxed DyThAs2Rh5 crystal at the PBE level of DFT.

Unit cell a=3.986 b=3.986 c=12.757 alpha=90.00 beta=90.00 gamma=90.00
Space group P4/mmm (No. 123)
Inequivalent atoms, fractional coordinates:
Dy 0.000 0.000 0.000 (multiplicity 1)
Th 0.500 0.500 0.500 (multiplicity 1)
As 0.500 0.500 0.273 (multiplicity 2)
Rh 0.000 0.500 0.165 (multiplicity 4)
Rh 0.500 0.500 0.000 (multiplicity 1)

Properties
Formation energy ... -2.3 eV/f.u.
Total moment ... 0.000 μB/f.u.



Computed, not measured: a relaxed Dy2TiAs3Rh4 crystal at the PBE level of DFT.

Unit cell a=4.043 b=4.043 c=10.914 alpha=90.00 beta=90.00 gamma=90.00
Space group P-4m2 (No. 115)
Inequivalent atoms, fractional coordinates:
Dy 0.000 0.500 0.231 (multiplicity 2)
Ti 0.000 0.000 0.500 (multiplicity 1)
As 0.000 0.500 0.861 (multiplicity 2)
As 0.500 0.500 0.500 (multiplicity 1)
Rh 0.000 0.000 0.000 (multiplicity 1)
Rh 0.000 0.500 0.639 (multiplicity 2)
Rh 0.500 0.500 0.000 (multiplicity 1)

Properties
Formation energy ... -9.5 eV/f.u.
Total moment ... 0.000 μB/f.u.



Computed, not measured: a relaxed DyTiAs2Rh5 crystal at the PBE level of DFT.

Unit cell a=3.990 b=3.990 c=12.014 alpha=90.00 beta=90.00 gamma=90.00
Space group P4/mmm (No. 123)
Inequivalent atoms, fractional coordinates:
Dy 0.000 0.000 0.000 (multiplicity 1)
Ti 0.500 0.500 0.500 (multiplicity 1)
As 0.500 0.500 0.290 (multiplicity 2)
Rh 0.000 0.500 0.174 (multiplicity 4)
Rh 0.500 0.500 0.000 (multiplicity 1)

Properties
Formation energy ... -1.1 eV/f.u.
Total moment ... 1.829 μB/f.u.



Computed, not measured: a relaxed DyTmAs2Rh5 crystal at the PBE level of DFT.

Unit cell a=4.227 b=4.227 c=8.741 alpha=90.00 beta=90.00 gamma=90.00
Space group P4/mmm (No. 123)
Inequivalent atoms, fractional coordinates:
Dy 0.000 0.000 0.000 (multiplicity 1)
Tm 0.000 0.000 0.500 (multiplicity 1)
As 0.500 0.500 0.355 (multiplicity 2)
Rh 0.000 0.500 0.233 (multiplicity 4)
Rh 0.500 0.500 0.000 (multiplicity 1)

Properties
Formation energy ... -7.1 eV/f.u.
Total moment ... 0.000 μB/f.u.



Computed, not measured: a relaxed DyUAs2Rh5 crystal at the PBE level of DFT.

Unit cell a=3.986 b=3.986 c=12.606 alpha=90.00 beta=90.00 gamma=90.00
Space group P4/mmm (No. 123)
Inequivalent atoms, fractional coordinates:
Dy 0.000 0.000 0.000 (multiplicity 1)
U 0.500 0.500 0.500 (multiplicity 1)
As 0.500 0.500 0.276 (multiplicity 2)
Rh 0.000 0.500 0.167 (multiplicity 4)
Rh 0.500 0.500 0.000 (multiplicity 1)

Properties
Formation energy ... -0.8 eV/f.u.
Total moment ... 3.693 μB/f.u.



Computed, not measured: a relaxed Dy3ZnAs2Rh9 crystal at the PBE level of DFT.

Unit cell a=6.2316 b=6.2316 c=9.0705 alpha=90.00 beta=90.00 gamma=120.00
Space group P-3m1 (No. 164)
Inequivalent atoms, fractional coordinates:
Dy 0.0000 0.0000 0.0000 (multiplicity 1)
Dy 0.3333 0.6667 0.7288 (multiplicity 2)
Zn 0.0000 0.0000 0.5000 (multiplicity 1)
As 0.3333 0.6667 0.1750 (multiplicity 2)
Rh 0.0000 0.5000 0.0000 (multiplicity 3)
Rh 0.1402 0.2805 0.2729 (multiplicity 6)

Properties
Formation energy ... -5.4 eV/f.u.
Total moment ... 0.000 μB/f.u.